# 1
# Ce5Tl6Hg (PBE, relaxed)
data_Ce5Tl6Hg
_cell_length_a 9.1182
_cell_length_b 9.1182
_cell_length_c 9.1182
_cell_angle_alpha 149.10
_cell_angle_beta 117.48
_cell_angle_gamma 71.36
_space_group_name_H-M_alt 'P 1'
_space_group_IT_number 1
loop_
_space_group_symop_operation_xyz
'x,y,z'
loop_
_atom_site_label
_atom_site_fract_x
_atom_site_fract_y
_atom_site_fract_z
_atom_site_occupancy
Ce1 0.0000 0.0000 0.0000 1
Ce2 0.1638 0.6638 0.5000 1
Ce3 0.3473 0.3473 0.0000 1
Ce4 0.6527 0.6527 0.0000 1
Ce5 0.8362 0.3362 0.5000 1
Tl1 0.0761 0.8281 0.2480 1
Tl2 0.2477 0.5000 0.7477 1
Tl3 0.4199 0.1719 0.2480 1
Tl4 0.5801 0.8281 0.7520 1
Tl5 0.7523 0.5000 0.2523 1
Tl6 0.9239 0.1719 0.7520 1
Hg1 0.5000 0.0000 0.5000 1
# Formation energy from the elements = -0.208 eV per atom


# 2
# Ce4Tl3Hg2 (PBE, relaxed)
data_Ce4Tl3Hg2
_cell_length_a 8.3363
_cell_length_b 8.3363
_cell_length_c 10.6911
_cell_angle_alpha 90.00
_cell_angle_beta 90.00
_cell_angle_gamma 134.96
_space_group_name_H-M_alt 'P 1'
_space_group_IT_number 1
loop_
_space_group_symop_operation_xyz
'x,y,z'
loop_
_atom_site_label
_atom_site_fract_x
_atom_site_fract_y
_atom_site_fract_z
_atom_site_occupancy
Ce1 0.1880 0.3120 0.2500 1
Ce2 0.2091 0.7909 0.9828 1
Ce3 0.2909 0.7091 0.4828 1
Ce4 0.3120 0.1880 0.7500 1
Ce5 0.6880 0.8120 0.2500 1
Ce6 0.7091 0.2909 0.5172 1
Ce7 0.7909 0.2091 0.0172 1
Ce8 0.8120 0.6880 0.7500 1
Tl1 0.0000 0.0000 0.0000 1
Tl2 0.0631 0.4369 0.7500 1
Tl3 0.4369 0.0631 0.2500 1
Tl4 0.5000 0.5000 0.5000 1
Tl5 0.5631 0.9369 0.7500 1
Tl6 0.9369 0.5631 0.2500 1
Hg1 0.0935 0.9065 0.4820 1
Hg2 0.4065 0.5935 0.9820 1
Hg3 0.5935 0.4065 0.0180 1
Hg4 0.9065 0.0935 0.5180 1
# Formation energy from the elements = -0.064 eV per atom
# Energy above the lowest structure with this stoichiometry = 139 meV per atom


# 3
# Ce7Tl2Hg2 (PBE, relaxed)
data_Ce7Tl2Hg2
_cell_length_a 7.5245
_cell_length_b 7.5245
_cell_length_c 5.6783
_cell_angle_alpha 103.79
_cell_angle_beta 103.79
_cell_angle_gamma 90.89
_space_group_name_H-M_alt 'P 1'
_space_group_IT_number 1
loop_
_space_group_symop_operation_xyz
'x,y,z'
loop_
_atom_site_label
_atom_site_fract_x
_atom_site_fract_y
_atom_site_fract_z
_atom_site_occupancy
Ce1 0.0000 0.0000 0.0000 1
Ce2 0.0730 0.5810 0.8581 1
Ce3 0.4190 0.9270 0.1419 1
Ce4 0.4285 0.4285 0.1564 1
Ce5 0.5715 0.5715 0.8436 1
Ce6 0.5810 0.0730 0.8581 1
Ce7 0.9270 0.4190 0.1419 1
Tl1 0.2279 0.2279 0.5497 1
Tl2 0.7721 0.7721 0.4503 1
Hg1 0.2184 0.7816 0.5000 1
Hg2 0.7816 0.2184 0.5000 1
# Formation energy from the elements = -0.078 eV per atom


Question: The lowest formation energy from the elements belongs to which entry?
Answer: Ce5Tl6Hg


Question: What is the formation energy from the elements in the third record?
Answer: -0.078 eV per atom